--- a ---
# AgRuPt (GGA-PBEsol, optimized geometry)
data_AgRuPt
_chemical_formula_sum 'Ag1 Ru1 Pt1'
_symmetry_space_group_name_H-M 'P 1'
_symmetry_Int_Tables_number 1
_cell_length_a 2.731
_cell_length_b 2.731
_cell_length_c 6.886
_cell_angle_alpha 90.00
_cell_angle_beta 90.00
_cell_angle_gamma 120.00
loop_
_symmetry_equiv_pos_as_xyz
'x,y,z'
loop_
_atom_site_label
_atom_site_fract_x
_atom_site_fract_y
_atom_site_fract_z
_atom_site_occupancy
Ag1 0.000 0.000 0.000 1
Ru1 0.667 0.333 0.340 1
Pt1 0.333 0.667 0.651 1
# * DOS at the Fermi energy: 2.6 states/eV/f.u.

***

--- b ---
# AgRuPt (GGA-PBEsol, optimized geometry)
data_AgRuPt
_chemical_formula_sum 'Ag1 Ru1 Pt1'
_symmetry_space_group_name_H-M 'P 1'
_symmetry_Int_Tables_number 1
_cell_length_a 4.213
_cell_length_b 4.213
_cell_length_c 4.213
_cell_angle_alpha 60.00
_cell_angle_beta 60.00
_cell_angle_gamma 60.00
loop_
_symmetry_equiv_pos_as_xyz
'x,y,z'
loop_
_atom_site_label
_atom_site_fract_x
_atom_site_fract_y
_atom_site_fract_z
_atom_site_occupancy
Ag1 0.000 0.000 0.000 1
Ru1 0.250 0.250 0.250 1
Pt1 0.750 0.750 0.750 1
# * DOS at the Fermi energy: 4.0 states/eV/f.u.

***

Quick one: least stable of them? b

***

--- a ---
# AgSb2Pt (GGA-PBEsol, optimized geometry)
data_AgSb2Pt
_chemical_formula_sum 'Ag1 Sb2 Pt1'
_symmetry_space_group_name_H-M 'P 1'
_symmetry_Int_Tables_number 1
_cell_length_a 5.484
_cell_length_b 5.484
_cell_length_c 5.484
_cell_angle_alpha 135.41
_cell_angle_beta 135.41
_cell_angle_gamma 64.90
loop_
_symmetry_equiv_pos_as_xyz
'x,y,z'
loop_
_atom_site_label
_atom_site_fract_x
_atom_site_fract_y
_atom_site_fract_z
_atom_site_occupancy
Ag1 0.000 0.000 0.000 1
Sb1 0.250 0.750 0.500 1
Sb2 0.500 0.500 0.000 1
Pt1 0.750 0.250 0.500 1
# * DOS at the Fermi energy: 1.4 states/eV/f.u.

***

--- b ---
# AgSb2Pt (GGA-PBEsol, optimized geometry)
data_AgSb2Pt
_chemical_formula_sum 'Ag1 Sb2 Pt1'
_symmetry_space_group_name_H-M 'P 1'
_symmetry_Int_Tables_number 1
_cell_length_a 3.243
_cell_length_b 3.243
_cell_length_c 7.714
_cell_angle_alpha 90.00
_cell_angle_beta 90.00
_cell_angle_gamma 90.00
loop_
_symmetry_equiv_pos_as_xyz
'x,y,z'
loop_
_atom_site_label
_atom_site_fract_x
_atom_site_fract_y
_atom_site_fract_z
_atom_site_occupancy
Ag1 0.000 0.000 0.000 1
Sb1 0.500 0.500 0.270 1
Sb2 0.500 0.500 0.730 1
Pt1 0.000 0.000 0.500 1
# * DOS at the Fermi energy: 1.2 states/eV/f.u.

***

--- c ---
# AgSb2Pt (GGA-PBEsol, optimized geometry)
data_AgSb2Pt
_chemical_formula_sum 'Ag1 Sb2 Pt1'
_symmetry_space_group_name_H-M 'P 1'
_symmetry_Int_Tables_number 1
_cell_length_a 4.712
_cell_length_b 4.712
_cell_length_c 3.658
_cell_angle_alpha 90.00
_cell_angle_beta 90.00
_cell_angle_gamma 98.64
loop_
_symmetry_equiv_pos_as_xyz
'x,y,z'
loop_
_atom_site_label
_atom_site_fract_x
_atom_site_fract_y
_atom_site_fract_z
_atom_site_occupancy
Ag1 0.000 0.000 0.000 1
Sb1 0.000 0.500 0.500 1
Sb2 0.500 0.000 0.500 1
Pt1 0.500 0.500 0.000 1
# * DOS at the Fermi energy: 1.6 states/eV/f.u.

***

--- d ---
# AgSb2Pt (GGA-PBEsol, optimized geometry)
data_AgSb2Pt
_chemical_formula_sum 'Ag1 Sb2 Pt1'
_symmetry_space_group_name_H-M 'P 1'
_symmetry_Int_Tables_number 1
_cell_length_a 4.964
_cell_length_b 4.964
_cell_length_c 4.964
_cell_angle_alpha 124.23
_cell_angle_beta 124.23
_cell_angle_gamma 82.82
loop_
_symmetry_equiv_pos_as_xyz
'x,y,z'
loop_
_atom_site_label
_atom_site_fract_x
_atom_site_fract_y
_atom_site_fract_z
_atom_site_occupancy
Ag1 0.000 0.000 0.000 1
Sb1 0.250 0.750 0.500 1
Sb2 0.750 0.250 0.500 1
Pt1 0.500 0.500 0.000 1
# * DOS at the Fermi energy: 1.4 states/eV/f.u.

***

Quick one: least stable of them? a

***

--- a ---
# SiAgPt (GGA-PBEsol, optimized geometry)
data_SiAgPt
_chemical_formula_sum 'Si1 Ag1 Pt1'
_symmetry_space_group_name_H-M 'P 1'
_symmetry_Int_Tables_number 1
_cell_length_a 2.883
_cell_length_b 2.883
_cell_length_c 6.330
_cell_angle_alpha 90.00
_cell_angle_beta 90.00
_cell_angle_gamma 120.00
loop_
_symmetry_equiv_pos_as_xyz
'x,y,z'
loop_
_atom_site_label
_atom_site_fract_x
_atom_site_fract_y
_atom_site_fract_z
_atom_site_occupancy
Si1 0.000 0.000 0.000 1
Ag1 0.333 0.667 0.662 1
Pt1 0.667 0.333 0.285 1
# * DOS at the Fermi energy: 1.5 states/eV/f.u.

***

--- b ---
# SiAgPt (GGA-PBEsol, optimized geometry)
data_SiAgPt
_chemical_formula_sum 'Si1 Ag1 Pt1'
_symmetry_space_group_name_H-M 'P 1'
_symmetry_Int_Tables_number 1
_cell_length_a 4.210
_cell_length_b 4.210
_cell_length_c 4.210
_cell_angle_alpha 60.00
_cell_angle_beta 60.00
_cell_angle_gamma 60.00
loop_
_symmetry_equiv_pos_as_xyz
'x,y,z'
loop_
_atom_site_label
_atom_site_fract_x
_atom_site_fract_y
_atom_site_fract_z
_atom_site_occupancy
Si1 0.000 0.000 0.000 1
Ag1 0.750 0.750 0.750 1
Pt1 0.500 0.500 0.500 1
# * DOS at the Fermi energy: 1.5 states/eV/f.u.

***

Quick one: least stable of them? b

***

--- a ---
# SrAg2Pt (GGA-PBEsol, optimized geometry)
data_SrAg2Pt
_chemical_formula_sum 'Sr1 Ag2 Pt1'
_symmetry_space_group_name_H-M 'P 1'
_symmetry_Int_Tables_number 1
_cell_length_a 3.077
_cell_length_b 4.308
_cell_length_c 5.934
_cell_angle_alpha 90.00
_cell_angle_beta 90.00
_cell_angle_gamma 90.00
loop_
_symmetry_equiv_pos_as_xyz
'x,y,z'
loop_
_atom_site_label
_atom_site_fract_x
_atom_site_fract_y
_atom_site_fract_z
_atom_site_occupancy
Sr1 0.000 0.000 0.000 1
Ag1 0.500 0.500 0.279 1
Ag2 0.500 0.500 0.721 1
Pt1 0.000 0.000 0.500 1
# * DOS at the Fermi energy: 1.2 states/eV/f.u.

***

--- b ---
# SrAg2Pt (GGA-PBEsol, optimized geometry)
data_SrAg2Pt
_chemical_formula_sum 'Sr1 Ag2 Pt1'
_symmetry_space_group_name_H-M 'P 1'
_symmetry_Int_Tables_number 1
_cell_length_a 3.070
_cell_length_b 3.927
_cell_length_c 6.723
_cell_angle_alpha 90.00
_cell_angle_beta 90.00
_cell_angle_gamma 90.00
loop_
_symmetry_equiv_pos_as_xyz
'x,y,z'
loop_
_atom_site_label
_atom_site_fract_x
_atom_site_fract_y
_atom_site_fract_z
_atom_site_occupancy
Sr1 0.000 0.000 0.000 1
Ag1 0.000 0.000 0.522 1
Ag2 0.500 0.500 0.324 1
Pt1 0.500 0.500 0.735 1
# * DOS at the Fermi energy: 1.5 states/eV/f.u.

***

Quick one: least stable of them? a

***

--- a ---
# TaAg2Pt (GGA-PBEsol, optimized geometry)
data_TaAg2Pt
_chemical_formula_sum 'Ta1 Ag2 Pt1'
_symmetry_space_group_name_H-M 'P 1'
_symmetry_Int_Tables_number 1
_cell_length_a 4.758
_cell_length_b 4.758
_cell_length_c 2.894
_cell_angle_alpha 90.00
_cell_angle_beta 90.00
_cell_angle_gamma 90.00
loop_
_symmetry_equiv_pos_as_xyz
'x,y,z'
loop_
_atom_site_label
_atom_site_fract_x
_atom_site_fract_y
_atom_site_fract_z
_atom_site_occupancy
Ta1 0.000 0.000 0.000 1
Ag1 0.000 0.500 0.500 1
Ag2 0.500 0.000 0.500 1
Pt1 0.500 0.500 0.000 1
# * DOS at the Fermi energy: 3.2 states/eV/f.u.

***

--- b ---
# TaAg2Pt (GGA-PBEsol, optimized geometry)
data_TaAg2Pt
_chemical_formula_sum 'Ta1 Ag2 Pt1'
_symmetry_space_group_name_H-M 'P 1'
_symmetry_Int_Tables_number 1
_cell_length_a 3.501
_cell_length_b 3.501
_cell_length_c 5.374
_cell_angle_alpha 90.00
_cell_angle_beta 90.00
_cell_angle_gamma 90.00
loop_
_symmetry_equiv_pos_as_xyz
'x,y,z'
loop_
_atom_site_label
_atom_site_fract_x
_atom_site_fract_y
_atom_site_fract_z
_atom_site_occupancy
Ta1 0.000 0.000 0.000 1
Ag1 0.500 0.500 0.253 1
Ag2 0.500 0.500 0.747 1
Pt1 0.000 0.000 0.500 1
# * DOS at the Fermi energy: 2.4 states/eV/f.u.

***

--- c ---
# TaAg2Pt (GGA-PBEsol, optimized geometry)
data_TaAg2Pt
_chemical_formula_sum 'Ta1 Ag2 Pt1'
_symmetry_space_group_name_H-M 'P 1'
_symmetry_Int_Tables_number 1
_cell_length_a 2.769
_cell_length_b 4.916
_cell_length_c 4.814
_cell_angle_alpha 90.00
_cell_angle_beta 91.73
_cell_angle_gamma 90.00
loop_
_symmetry_equiv_pos_as_xyz
'x,y,z'
loop_
_atom_site_label
_atom_site_fract_x
_atom_site_fract_y
_atom_site_fract_z
_atom_site_occupancy
Ta1 0.000 0.000 0.000 1
Ag1 0.270 0.500 0.751 1
Ag2 0.730 0.500 0.249 1
Pt1 0.500 0.000 0.500 1
# * DOS at the Fermi energy: 1.9 states/eV/f.u.

***

Quick one: least stable of them? a

***

--- a ---
# TcAgPt2 (GGA-PBEsol, optimized geometry)
data_TcAgPt2
_chemical_formula_sum 'Tc1 Ag1 Pt2'
_symmetry_space_group_name_H-M 'P 1'
_symmetry_Int_Tables_number 1
_cell_length_a 4.403
_cell_length_b 4.403
_cell_length_c 4.403
_cell_angle_alpha 60.00
_cell_angle_beta 60.00
_cell_angle_gamma 60.00
loop_
_symmetry_equiv_pos_as_xyz
'x,y,z'
loop_
_atom_site_label
_atom_site_fract_x
_atom_site_fract_y
_atom_site_fract_z
_atom_site_occupancy
Tc1 0.000 0.000 0.000 1
Ag1 0.250 0.250 0.250 1
Pt1 0.500 0.500 0.500 1
Pt2 0.750 0.750 0.750 1
# * DOS at the Fermi energy: 2.2 states/eV/f.u.

***

--- b ---
# TcAgPt2 (GGA-PBEsol, optimized geometry)
data_TcAgPt2
_chemical_formula_sum 'Tc1 Ag1 Pt2'
_symmetry_space_group_name_H-M 'P 1'
_symmetry_Int_Tables_number 1
_cell_length_a 2.738
_cell_length_b 2.738
_cell_length_c 7.976
_cell_angle_alpha 90.00
_cell_angle_beta 90.00
_cell_angle_gamma 90.00
loop_
_symmetry_equiv_pos_as_xyz
'x,y,z'
loop_
_atom_site_label
_atom_site_fract_x
_atom_site_fract_y
_atom_site_fract_z
_atom_site_occupancy
Tc1 0.000 0.000 0.000 1
Ag1 0.000 0.000 0.500 1
Pt1 0.500 0.500 0.233 1
Pt2 0.500 0.500 0.767 1
# * DOS at the Fermi energy: 1.8 states/eV/f.u.

***

Quick one: least stable of them? a